(1)
The following is a DFT calculation (PBE-GGA) of a geometry-optimized SrSi2SI structure.

abc: 4.8667 5.9356 4.8667
angles: 90.00 90.00 90.00
Fractional positions:
Si: 0.0000 0.0000 0.5000
Si: 0.5000 0.0000 0.0000
Sr: 0.0000 0.5000 0.0000
I: 0.5000 0.5000 0.5000
S: 0.0000 0.0000 0.0000

Results
- raw formation energy (meV/atom) = 8
- crystal system = tetragonal
- N(E_F) (states/eV/atom) = 1.14
- total energy (eV/atom) = -3.633

---

(2)
The following is a DFT calculation (PBE-GGA) of a geometry-optimized TaSi2SI structure.

abc: 5.0384 5.0384 5.2422
angles: 90.00 90.00 90.00
Last column: magnetic moment on the atom in μB.
Fractional positions:
Si: 0.5000 0.0000 0.0000  -0.01
Si: 0.0000 0.5000 0.0000  -0.01
Ta: 0.0000 0.0000 0.0000  0.21
S: 0.5000 0.5000 0.5000  0.55
I: 0.0000 0.0000 0.5000  0.04

Results
- raw formation energy (meV/atom) = 950
- crystal system = tetragonal
- N(E_F) (states/eV/atom) = 1.03
- total energy (eV/atom) = -4.725

---

(3)
The following is a DFT calculation (PBE-GGA) of a geometry-optimized Sm3SI3 structure.

abc: 7.1644 7.1644 12.0949
angles: 72.77 72.77 60.00
Fractional positions:
I: 0.1047 0.4362 0.6860
I: 0.2269 0.8953 0.3140
I: 0.5638 0.2269 0.3140
I: 0.4362 0.7731 0.6860
I: 0.8953 0.5638 0.3140
I: 0.7731 0.1047 0.6860
Sm: 0.0434 0.7018 0.8699
Sm: 0.2982 0.6150 0.1301
Sm: 0.7018 0.3850 0.8699
Sm: 0.3850 0.0434 0.8699
Sm: 0.9566 0.2982 0.1301
Sm: 0.6150 0.9566 0.1301
S: 0.6667 0.6667 0.0000
S: 0.3333 0.3333 0.0000

Results
- raw formation energy (meV/atom) = -1430
- crystal system = trigonal
- N(E_F) (states/eV/atom) = 0.34
- total energy (eV/atom) = -4.706

---

(4)
The following is a DFT calculation (PBE-GGA) of a geometry-optimized SmSI structure.

abc: 11.9671 11.9671 11.9671
angles: 22.18 22.18 22.18
Fractional positions:
Sm: 0.6158 0.6158 0.6158
Sm: 0.3842 0.3842 0.3842
I: 0.1082 0.1082 0.1082
I: 0.8918 0.8918 0.8918
S: 0.6964 0.6964 0.6964
S: 0.3036 0.3036 0.3036

Results
- raw formation energy (meV/atom) = -1805
- crystal system = trigonal
- N(E_F) (states/eV/atom) = 0.00
- total energy (eV/atom) = -5.271

---

(5)
The following is a DFT calculation (PBE-GGA) of a geometry-optimized Sm4S5I structure.

abc: 6.8942 8.4296 10.5755
angles: 90.00 90.00 90.00
Last column: magnetic moment on the atom in μB.
Fractional positions:
S: 0.7543 0.7430 0.3064  0.00
S: 0.2238 0.0000 0.5000  0.00
S: 0.7543 0.2570 0.3064  0.00
S: 0.2457 0.7570 0.8064  0.00
S: 0.7543 0.7430 0.6936  0.00
S: 0.2457 0.2430 0.8064  0.00
S: 0.2457 0.2430 0.1936  0.00
S: 0.2457 0.7570 0.1936  0.00
S: 0.7543 0.2570 0.6936  0.00
S: 0.7762 0.5000 0.0000  0.00
Sm: 0.5133 0.7737 0.5000  0.18
Sm: 0.5133 0.2263 0.5000  0.18
Sm: 0.4867 0.2737 0.0000  0.18
Sm: 0.0055 0.0000 0.7172  0.03
Sm: 0.9945 0.5000 0.2172  0.03
Sm: 0.9945 0.5000 0.7828  0.03
Sm: 0.0055 0.0000 0.2828  0.03
Sm: 0.4867 0.7263 0.0000  0.18
I: 0.1913 0.5000 0.5000  0.02
I: 0.8087 0.0000 0.0000  0.02

Results
- raw formation energy (meV/atom) = -1711
- crystal system = orthorhombic
- N(E_F) (states/eV/atom) = 0.12
- total energy (eV/atom) = -5.817

---

(6)
The following is a DFT calculation (PBE-GGA) of a geometry-optimized SmSI structure.

abc: 7.5075 7.5075 8.1516
angles: 108.97 108.97 107.11
Fractional positions:
I: 0.2905 0.6191 0.7448
I: 0.8742 0.5456 0.2552
I: 0.7956 0.6242 0.7552
I: 0.8691 0.0405 0.2448
Sm: 0.6839 0.8322 0.4674
Sm: 0.0822 0.4339 0.9674
Sm: 0.3649 0.2165 0.5326
Sm: 0.4665 0.1149 0.0326
S: 0.6549 0.1169 0.7630
S: 0.3539 0.8919 0.2370
S: 0.1419 0.1039 0.7370
S: 0.3669 0.4049 0.2630

Results
- raw formation energy (meV/atom) = -1722
- crystal system = orthorhombic
- N(E_F) (states/eV/atom) = 0.00
- total energy (eV/atom) = -5.187

---

(7)
The following is a DFT calculation (PBE-GGA) of a geometry-optimized SmSI structure.

abc: 4.2683 4.2683 7.2946
angles: 90.00 90.00 120.00
Fractional positions:
S: 0.3333 0.6667 0.5336
Sm: 0.6667 0.3333 0.3784
I: 0.0000 0.0000 0.0881

Results
- raw formation energy (meV/atom) = -1729
- crystal system = trigonal
- N(E_F) (states/eV/atom) = 0.00
- total energy (eV/atom) = -5.194

---

(8)
The following is a DFT calculation (PBE-GGA) of a geometry-optimized Sm3S12I5 structure.

abc: 15.0481 15.0481 15.0481
angles: 109.47 109.47 109.47
Fractional positions:
S: 0.3983 0.6590 0.0809
S: 0.4219 0.1826 0.5809
S: 0.1017 0.4191 0.8410
S: 0.8174 0.5781 0.9191
S: 0.3410 0.7393 0.4219
S: 0.1590 0.0781 0.7607
S: 0.4219 0.2393 0.3410
S: 0.3174 0.4191 0.0781
S: 0.6826 0.5809 0.9219
S: 0.7393 0.3410 0.9219
S: 0.5809 0.6826 0.4219
S: 0.8174 0.2393 0.3983
S: 0.4191 0.3174 0.5781
S: 0.5809 0.8983 0.6590
S: 0.7393 0.3983 0.3174
S: 0.0781 0.1590 0.2607
S: 0.0809 0.1590 0.3983
S: 0.4191 0.1017 0.3410
S: 0.9191 0.0781 0.8174
S: 0.3410 0.6017 0.4191
S: 0.8410 0.9191 0.1017
S: 0.2393 0.8174 0.8983
S: 0.2393 0.4219 0.8410
S: 0.9219 0.0809 0.6826
S: 0.7607 0.1826 0.1017
S: 0.8983 0.5809 0.1590
S: 0.0809 0.9219 0.1826
S: 0.5781 0.7607 0.6590
S: 0.3983 0.7393 0.8174
S: 0.6590 0.2607 0.5781
S: 0.9219 0.8410 0.7393
S: 0.0781 0.9191 0.3174
S: 0.1590 0.0809 0.8983
S: 0.2607 0.6590 0.0781
S: 0.6590 0.3983 0.5809
S: 0.6017 0.3410 0.9191
S: 0.2607 0.6017 0.6826
S: 0.7607 0.5781 0.1590
S: 0.8410 0.9219 0.2393
S: 0.6017 0.2607 0.1826
S: 0.5781 0.8174 0.4191
S: 0.9191 0.8410 0.6017
S: 0.8983 0.3174 0.2393
S: 0.1017 0.6826 0.7607
S: 0.1826 0.4219 0.0809
S: 0.3174 0.8983 0.7393
S: 0.1826 0.7607 0.6017
S: 0.6826 0.1017 0.2607
Sm: 0.1250 0.2500 0.8750
Sm: 0.6250 0.2500 0.3750
Sm: 0.6250 0.3750 0.7500
Sm: 0.8750 0.1250 0.2500
Sm: 0.7500 0.3750 0.1250
Sm: 0.8750 0.7500 0.1250
Sm: 0.3750 0.7500 0.6250
Sm: 0.3750 0.6250 0.2500
Sm: 0.1250 0.8750 0.7500
Sm: 0.2500 0.6250 0.8750
Sm: 0.2500 0.1250 0.3750
Sm: 0.7500 0.8750 0.6250
I: 0.0000 0.5000 0.0000
I: 0.1250 0.3750 0.2500
I: 0.8750 0.2500 0.6250
I: 0.7500 0.1250 0.8750
I: 0.6250 0.7500 0.8750
I: 0.3750 0.2500 0.1250
I: 0.0000 0.0000 0.5000
I: 0.6250 0.8750 0.2500
I: 0.5000 0.0000 0.5000
I: 0.8750 0.6250 0.7500
I: 0.3750 0.1250 0.7500
I: 0.1250 0.7500 0.3750
I: 0.0000 0.5000 0.5000
I: 0.5000 0.0000 0.0000
I: 0.5000 0.5000 0.0000
I: 0.2500 0.8750 0.1250
I: 0.7500 0.6250 0.3750
I: 0.2500 0.3750 0.6250
I: 0.5000 0.5000 0.5000
I: 0.0000 0.0000 0.0000

Results
- raw formation energy (meV/atom) = -482
- crystal system = cubic
- N(E_F) (states/eV/atom) = 0.49
- total energy (eV/atom) = -4.054

---

(9)
The following is a DFT calculation (PBE-GGA) of a geometry-optimized Sm2SI4 structure.

abc: 3.9313 13.5768 13.5768
angles: 90.00 90.00 90.00
Fractional positions:
I: 0.0000 0.7777 0.5633
I: 0.5000 0.7223 0.0633
I: 0.0000 0.2223 0.4367
I: 0.5000 0.9367 0.2777
I: 0.5000 0.0633 0.7223
I: 0.0000 0.5633 0.7777
I: 0.0000 0.4367 0.2223
I: 0.5000 0.2777 0.9367
Sm: 0.5000 0.3936 0.3936
Sm: 0.5000 0.6064 0.6064
Sm: 0.0000 0.1064 0.8936
Sm: 0.0000 0.8936 0.1064
S: 0.5000 0.0000 0.0000
S: 0.0000 0.5000 0.5000

Results
- raw formation energy (meV/atom) = -1499
- crystal system = tetragonal
- total energy (eV/atom) = -4.323

---

(10)
The following is a DFT calculation (PBE-GGA) of a geometry-optimized SmSI structure.

abc: 3.7018 3.7018 7.2711
angles: 104.75 104.75 90.00
Fractional positions:
S: 0.2785 0.2785 0.5570
Sm: 0.6935 0.6935 0.3871
I: 0.0280 0.0280 0.0560

Results
- raw formation energy (meV/atom) = -1464
- crystal system = tetragonal
- N(E_F) (states/eV/atom) = 0.12
- total energy (eV/atom) = -4.930

---

(11)
The following is a DFT calculation (PBE-GGA) of a geometry-optimized SmS2I structure.

abc: 4.2975 4.2975 8.3880
angles: 75.16 75.16 60.00
Fractional positions:
I: 0.0000 0.0000 0.0000
S: 0.1100 0.1100 0.6701
S: 0.8900 0.8900 0.3299
Sm: 0.5000 0.5000 0.5000

Results
- raw formation energy (meV/atom) = -1175
- crystal system = trigonal
- total energy (eV/atom) = -4.806

---

(12)
The following is a DFT calculation (PBE-GGA) of a geometry-optimized SmSI structure.

abc: 4.0247 7.3110 12.3920
angles: 90.00 90.00 90.00
Fractional positions:
Sm: 0.5000 0.8071 0.5503
Sm: 0.5000 0.3076 0.9498
Sm: 0.5000 0.8076 0.0502
Sm: 0.5000 0.3071 0.4497
I: 0.5000 0.9512 0.2987
I: 0.5000 0.4514 0.2013
I: 0.5000 0.4512 0.7013
I: 0.5000 0.9514 0.7987
S: 0.0000 0.5782 0.4622
S: 0.0000 0.0788 0.0379
S: 0.0000 0.0782 0.5378
S: 0.0000 0.5788 0.9621

Results
- raw formation energy (meV/atom) = -1619
- crystal system = orthorhombic
- total energy (eV/atom) = -5.084

---

Question: Which of these has the highest total energy?
Answer: SrSi2SI

---

Question: The highest raw formation energy belongs to which entry?
Answer: TaSi2SI